# 1
This record from OQMD via LeMat-Bulk describes crystalline KNbAgSe2S at its relaxed geometry. The functional is PBE.

Cell lengths 7.7287, 7.7287, 10.0919 Å; angles 90.00, 90.00, 151.47 degrees
With the nearest neighbours (Å) after each atom.
Fractional positions:
K 0.2457 0.7543 0.7500  2 S 3.33, 6 Se 3.33-3.52, 2 Ag 3.67
K 0.7543 0.2457 0.2500  2 S 3.33, 6 Se 3.33-3.52, 2 Ag 3.67
Nb 0.5000 0.5000 0.0000  4 Se 2.69, 2 S 2.70
Nb 0.5000 0.5000 0.5000  4 Se 2.69, 2 S 2.70
Ag 0.0452 0.9548 0.2500  2 S 2.50, 2 Se 2.54
Ag 0.9548 0.0452 0.7500  2 S 2.50, 2 Se 2.54
Se 0.1255 0.8745 0.0281  1 Ag 2.54, 2 Nb 2.69
Se 0.1255 0.8745 0.4719  1 Ag 2.54, 2 Nb 2.69
Se 0.8745 0.1255 0.5281  1 Ag 2.54, 2 Nb 2.69
Se 0.8745 0.1255 0.9719  1 Ag 2.54, 2 Nb 2.69
S 0.4366 0.5634 0.2500  2 Ag 2.50, 2 Nb 2.70
S 0.5634 0.4366 0.7500  2 Ag 2.50, 2 Nb 2.70

- Spin magnetization: 0.7 μB per formula unit
- Symmetry: No. 63
- Electronic total energy: -58.1 eV for the cell shown

---

# 2
This record from OQMD via LeMat-Bulk describes crystalline KNbAgTe2S at its relaxed geometry. The functional is PBE.

Cell lengths 8.0944, 8.0944, 10.3055 Å; angles 90.00, 90.00, 151.35 degrees
With the nearest neighbours (Å) after each atom.
Fractional positions:
K 0.2435 0.7565 0.7500  6 Te 3.40-3.61, 2 S 3.52
K 0.7565 0.2435 0.2500  6 Te 3.40-3.61, 2 S 3.52
Nb 0.5000 0.5000 0.0000  2 S 2.74, 4 Te 2.88
Nb 0.5000 0.5000 0.5000  2 S 2.74, 4 Te 2.88
Ag 0.0356 0.9644 0.2500  2 S 2.49, 2 Te 2.70
Ag 0.9644 0.0356 0.7500  2 S 2.49, 2 Te 2.70
Te 0.1303 0.8697 0.0309  1 Ag 2.70, 2 Nb 2.88
Te 0.1303 0.8697 0.4691  1 Ag 2.70, 2 Nb 2.88
Te 0.8697 0.1303 0.5309  1 Ag 2.70, 2 Nb 2.88
Te 0.8697 0.1303 0.9691  1 Ag 2.70, 2 Nb 2.88
S 0.4408 0.5592 0.2500  2 Ag 2.49, 2 Nb 2.74
S 0.5592 0.4408 0.7500  2 Ag 2.49, 2 Nb 2.74

- Spin magnetization: 0.8 μB per formula unit
- Symmetry: No. 63
- Electronic total energy: -54.4 eV for the cell shown

---

# 3
This record from OQMD via LeMat-Bulk describes crystalline K2NbAgSe4 at its relaxed geometry. The functional is PBE.

Cell lengths 13.7484, 12.2940, 7.5256 Å; angles 84.18, 62.82, 32.99 degrees
With the nearest neighbours (Å) after each atom.
Fractional positions:
K 0.0562 0.0562 0.6938  8 Se 3.49-3.82
K 0.3062 0.3062 0.9438  8 Se 3.49-3.82
K 0.6938 0.6938 0.0562  8 Se 3.49-3.82
K 0.9438 0.9438 0.3062  8 Se 3.49-3.82
Nb 0.1250 0.1250 0.1250  4 Se 2.44
Nb 0.8750 0.8750 0.8750  4 Se 2.44
Ag 0.3750 0.3750 0.3750  4 Se 2.67
Ag 0.6250 0.6250 0.6250  4 Se 2.67
Se 0.0720 0.2975 0.3900  1 Nb 2.44, 1 Ag 2.67
Se 0.2595 0.6100 0.7025  1 Nb 2.44, 1 Ag 2.67
Se 0.2975 0.0720 0.7405  1 Nb 2.44, 1 Ag 2.67
Se 0.3900 0.7405 0.0720  1 Nb 2.44, 1 Ag 2.67
Se 0.6100 0.2595 0.9280  1 Nb 2.44, 1 Ag 2.67
Se 0.7025 0.9280 0.2595  1 Nb 2.44, 1 Ag 2.67
Se 0.7405 0.3900 0.2975  1 Nb 2.44, 1 Ag 2.67
Se 0.9280 0.7025 0.6100  1 Nb 2.44, 1 Ag 2.67

- Spin magnetization: 0.0 μB per formula unit
- Symmetry: No. 70
- Electronic total energy: -72.9 eV for the cell shown

---

# 4
This record from OQMD via LeMat-Bulk describes crystalline KNbAgTe2Se at its relaxed geometry. The functional is PBE.

Cell lengths 8.1700, 8.1700, 10.5931 Å; angles 90.00, 90.00, 151.62 degrees
With the nearest neighbours (Å) after each atom.
Fractional positions:
K 0.2483 0.7517 0.7500  6 Te 3.52-3.63, 2 Se 3.52, 2 Ag 3.90
K 0.7517 0.2483 0.2500  6 Te 3.52-3.63, 2 Se 3.52, 2 Ag 3.90
Nb 0.5000 0.5000 0.0000  2 Se 2.84, 4 Te 2.88
Nb 0.5000 0.5000 0.5000  2 Se 2.84, 4 Te 2.88
Ag 0.0408 0.9592 0.2500  2 Se 2.61, 2 Te 2.71
Ag 0.9592 0.0408 0.7500  2 Se 2.61, 2 Te 2.71
Te 0.1294 0.8706 0.0309  1 Ag 2.71, 2 Nb 2.88
Te 0.1294 0.8706 0.4691  1 Ag 2.71, 2 Nb 2.88
Te 0.8706 0.1294 0.5309  1 Ag 2.71, 2 Nb 2.88
Te 0.8706 0.1294 0.9691  1 Ag 2.71, 2 Nb 2.88
Se 0.4347 0.5653 0.2500  2 Ag 2.61, 2 Nb 2.84
Se 0.5653 0.4347 0.7500  2 Ag 2.61, 2 Nb 2.84

- Spin magnetization: 0.8 μB per formula unit
- Symmetry: No. 63
- Electronic total energy: -53.1 eV for the cell shown

---

# 5
This record from OQMD via LeMat-Bulk describes crystalline KNbAgTeSe2 at its relaxed geometry. The functional is PBE.

Cell lengths 8.2381, 8.2381, 10.6930 Å; angles 90.00, 90.00, 153.29 degrees
With the nearest neighbours (Å) after each atom.
Fractional positions:
K 0.2293 0.7707 0.7500  4 Se 3.49, 2 Ag 3.54, 2 Te 3.56, 2 K 3.81
K 0.7707 0.2293 0.2500  4 Se 3.49, 2 Ag 3.54, 2 Te 3.56, 2 K 3.81
Nb 0.0000 0.0000 0.0000  4 Se 2.68, 2 Te 2.99
Nb 0.0000 0.0000 0.5000  4 Se 2.68, 2 Te 2.99
Ag 0.4567 0.5433 0.2500  2 Se 2.56, 2 Te 2.78
Ag 0.5433 0.4567 0.7500  2 Se 2.56, 2 Te 2.78
Te 0.0832 0.9168 0.2500  2 Ag 2.78, 2 Nb 2.99
Te 0.9168 0.0832 0.7500  2 Ag 2.78, 2 Nb 2.99
Se 0.3846 0.6154 0.0366  1 Ag 2.56, 2 Nb 2.68
Se 0.3846 0.6154 0.4634  1 Ag 2.56, 2 Nb 2.68
Se 0.6154 0.3846 0.5366  1 Ag 2.56, 2 Nb 2.68
Se 0.6154 0.3846 0.9634  1 Ag 2.56, 2 Nb 2.68

- Spin magnetization: 0.8 μB per formula unit
- Symmetry: No. 63
- Electronic total energy: -55.1 eV for the cell shown

---

# 6
This record from OQMD via LeMat-Bulk describes crystalline K2NbAg2Te4 at its relaxed geometry. The functional is PBE.

Cell lengths 8.0660, 8.0660, 6.3953 Å; angles 90.00, 90.00, 133.16 degrees
With the nearest neighbours (Å) after each atom.
Fractional positions:
K 0.0000 0.5000 0.2493  8 Te 3.70-3.87
K 0.5000 0.0000 0.7507  8 Te 3.70-3.87
Nb 0.0000 0.0000 0.5000  4 Te 2.71
Ag 0.0000 0.0000 0.0000  4 Te 2.82
Ag 0.5000 0.5000 0.5000  4 Te 2.83
Te 0.1200 0.3481 0.7354  1 Nb 2.71, 2 Ag 2.82-2.83
Te 0.3481 0.1200 0.2646  1 Nb 2.71, 2 Ag 2.82-2.83
Te 0.6519 0.8800 0.2646  1 Nb 2.71, 2 Ag 2.82-2.83
Te 0.8800 0.6519 0.7354  1 Nb 2.71, 2 Ag 2.82-2.83

- Spin magnetization: 0.9 μB per formula unit
- Symmetry: No. 21
- Electronic total energy: -35.3 eV for the cell shown

---

# 7
This record from OQMD via LeMat-Bulk describes crystalline KNdAg3O4 at its relaxed geometry. The functional is PBE.

Cell lengths 5.7042, 5.7042, 5.7042 Å; angles 90.00, 90.00, 90.00 degrees
With the nearest neighbours (Å) after each atom.
Fractional positions:
K 0.0000 0.0000 0.0000  4 O 2.70
Nd 0.5000 0.5000 0.5000  4 O 2.24
Ag 0.0000 0.5000 0.5000  4 O 2.40
Ag 0.5000 0.0000 0.5000  4 O 2.40
Ag 0.5000 0.5000 0.0000  4 O 2.40
O 0.2736 0.2736 0.2736  1 Nd 2.24, 3 Ag 2.40
O 0.2736 0.7264 0.7264  1 Nd 2.24, 3 Ag 2.40
O 0.7264 0.2736 0.7264  1 Nd 2.24, 3 Ag 2.40
O 0.7264 0.7264 0.2736  1 Nd 2.24, 3 Ag 2.40

- Spin magnetization: 1.0 μB per formula unit
- Symmetry: No. 215
- Electronic total energy: -41.2 eV for the cell shown

---

# 8
This record from OQMD via LeMat-Bulk describes crystalline KNdAg3S4 at its relaxed geometry. The functional is PBE.

Cell lengths 6.4622, 6.4622, 6.4622 Å; angles 90.00, 90.00, 90.00 degrees
With the nearest neighbours (Å) after each atom.
Fractional positions:
K 0.0000 0.0000 0.0000  4 S 2.98
Nd 0.5000 0.5000 0.5000  4 S 2.62
Ag 0.0000 0.5000 0.5000  4 S 2.74
Ag 0.5000 0.0000 0.5000  4 S 2.74
Ag 0.5000 0.5000 0.0000  4 S 2.74
S 0.2658 0.2658 0.2658  1 Nd 2.62, 3 Ag 2.74
S 0.2658 0.7342 0.7342  1 Nd 2.62, 3 Ag 2.74
S 0.7342 0.2658 0.7342  1 Nd 2.62, 3 Ag 2.74
S 0.7342 0.7342 0.2658  1 Nd 2.62, 3 Ag 2.74

- Spin magnetization: 0.7 μB per formula unit
- Symmetry: No. 215
- Electronic total energy: -36.3 eV for the cell shown

---

- spin magnetization of number 8 (KNdAg3S4)?
  0.7 μB per formula unit

---

- What is the formula in the second record?
  KNbAgTe2S

---

- Among the records above, which one has the highest electronic total energy?
  K2NbAg2Te4